1.
Entry from Alexandria: crystalline HoTmIrPt at its relaxed geometry (PBE-GGA).

Lattice parameters (Å, degrees): 4.849 4.849 4.849 60.00 60.00 60.00
Fractional positions:
1 Ho 0.000 0.000 0.000
2 Tm 0.500 0.500 0.500
3 Ir 0.250 0.250 0.250
4 Pt 0.750 0.750 0.750

Computed properties:
The value obtained for the total magnetization is 0.000 μB per cell. Its crystal system is cubic. For the density of states at the Fermi level, the calculation gives 1.91 states/eV per cell. For the electronic total energy, the calculation gives -7.06 eV/atom. For the energy above the most stable polymorph in this dataset, the calculation gives 0.06 eV/f.u. The calculation puts the calculated volume at 81 Å³/f.u. The value obtained for the calculated formation energy is -1.07 eV/atom.

2.
Entry from Alexandria: crystalline HoTmIrPt at its relaxed geometry (PBE-GGA).

Lattice parameters (Å, degrees): 3.424 3.424 6.880 90.00 90.00 90.00
Fractional positions:
1 Tm 0.500 0.500 0.100
2 Pt 0.000 0.000 0.353
3 Ho 0.500 0.500 0.615
4 Ir 0.000 0.000 0.860

Computed properties:
The value obtained for the total magnetization is 0.000 μB per cell. Its crystal system is tetragonal. For the density of states at the Fermi level, the calculation gives 1.77 states/eV per cell. For the electronic total energy, the calculation gives -7.08 eV/atom. For the energy above the most stable polymorph in this dataset, the calculation gives 0.00 eV/f.u. The calculation puts the calculated volume at 81 Å³/f.u. The value obtained for the calculated formation energy is -1.09 eV/atom.

3.
Entry from Alexandria: crystalline YHoIrPt at its relaxed geometry (PBE-GGA).

Lattice parameters (Å, degrees): 4.887 4.887 4.887 60.00 60.00 60.00
Fractional positions:
1 Ir 0.250 0.250 0.250
2 Y 0.500 0.500 0.500
3 Ho 0.000 0.000 0.000
4 Pt 0.750 0.750 0.750

Computed properties:
The value obtained for the total magnetization is 0.000 μB per cell. Its crystal system is cubic. For the density of states at the Fermi level, the calculation gives 1.68 states/eV per cell. For the electronic total energy, the calculation gives -7.51 eV/atom. The calculation puts the calculated volume at 83 Å³/f.u. The value obtained for the calculated formation energy is -1.02 eV/atom.

4.
Entry from Alexandria: crystalline HoZrIrPt at its relaxed geometry (PBE-GGA).

Lattice parameters (Å, degrees): 4.793 4.793 4.793 60.00 60.00 60.00
Fractional positions:
1 Ho 0.000 0.000 0.000
2 Ir 0.250 0.250 0.250
3 Pt 0.750 0.750 0.750
4 Zr 0.500 0.500 0.500

Computed properties:
The value obtained for the total magnetization is 0.000 μB per cell. Its crystal system is cubic. For the density of states at the Fermi level, the calculation gives 4.49 states/eV per cell. For the electronic total energy, the calculation gives -7.91 eV/atom. The calculation puts the calculated volume at 78 Å³/f.u. The value obtained for the calculated formation energy is -0.90 eV/atom.